The following is a PBE-GGA calculation of crystalline TmScGaHg at its relaxed geometry, from Alexandria via LeMat-Bulk.

The energy of formation from the pure elements comes out at -0.49 eV/atom. Its crystal system is cubic.

The space group is F-43m (No. 216) and the conventional cell measures 7.0716, 7.0716 and 7.0716 Å, with angles of 90.00, 90.00 and 90.00 degrees. The asymmetric unit holds Tm at (0.0000, 0.0000, 0.0000), Sc at (0.0000, 0.0000, 0.5000), Ga at (0.2500, 0.2500, 0.2500) and Hg at (0.2500, 0.2500, 0.7500).